An optimized crystal structure of ScMoAs2, computed with GGA-PBE.

Cell lengths 3.542, 3.542, 5.659 Å; angles 90.00, 90.00, 90.00 degrees
Fractional positions:
As  0.500  0.500  0.301
Sc  0.500  0.500  0.792
As  0.000  0.000  0.947
Mo  0.000  0.000  0.460

## Properties
Calculated volume, Å³/cell: 71
E, eV/atom: -7.1057
ΔH_f (0 K), meV per atom: -490

An optimized crystal structure of Sc2MoAs, computed with GGA-PBE.

Cell lengths 9.168, 9.168, 9.168 Å; angles 20.26, 20.26, 20.26 degrees
Fractional positions:
Mo  0.000  0.000  0.000
As  0.500  0.500  0.500
Sc  0.906  0.906  0.906
Sc  0.094  0.094  0.094

## Properties
Calculated volume, Å³/cell: 81
E, eV/atom: -6.8550
ΔH_f (0 K), meV per atom: 181

An optimized crystal structure of ScMoAs3, computed with GGA-PBE.

Cell lengths 4.961, 4.961, 4.961 Å; angles 90.00, 90.00, 90.00 degrees
Last column: magnetic moment on the atom in μB.
Fractional positions:
Mo  0.500  0.500  0.500  -0.37
As  0.000  0.500  0.000  -0.01
As  0.500  0.000  0.000  0.04
Sc  0.000  0.000  0.000  0.00
As  0.000  0.000  0.500  -0.03

## Properties
Calculated volume, Å³/cell: 122
E, eV/atom: -5.1722
ΔH_f (0 K), meV per atom: 1050